First-principles (meta-GGA SCAN) data for a crystal of CuSbSe2N relaxed with PBEsol, as listed in Alexandria.

CIF file:
```
data_CuSbSe2N
_cell_length_a 5.265
_cell_length_b 5.265
_cell_length_c 3.873
_cell_angle_alpha 90.00
_cell_angle_beta 90.00
_cell_angle_gamma 90.00
_symmetry_space_group_name_H-M 'P 1'
_symmetry_Int_Tables_number 1
_symmetry_space_group_name_Hall 'P 1'
loop_
_atom_site_label
_atom_site_fract_x
_atom_site_fract_y
_atom_site_fract_z
Cu1 0.000 0.000 0.000
Sb1 0.500 0.500 0.500
Se1 0.000 0.500 0.500
Se2 0.500 0.000 0.500
N1 0.500 0.500 0.000
```

Results
**Formation energy (no corrections)**: 5.553 eV per formula unit
**Total DFT energy (no corrections)**: -96.35 eV for the cell shown
**Volume**: 21.47 Å³/atom
**Theoretical density**: 5.5 g/cm³
**Total magnetization**: 1.248 μB per cell

First-principles (meta-GGA SCAN) data for a crystal of ScCuN2 relaxed with PBEsol, as listed in Alexandria.

CIF file:
```
data_ScCuN2
_cell_length_a 3.096
_cell_length_b 3.096
_cell_length_c 17.607
_cell_angle_alpha 90.00
_cell_angle_beta 90.00
_cell_angle_gamma 120.00
_symmetry_space_group_name_H-M 'P 1'
_symmetry_Int_Tables_number 1
_symmetry_space_group_name_Hall 'P 1'
loop_
_atom_site_label
_atom_site_fract_x
_atom_site_fract_y
_atom_site_fract_z
Sc1 0.000 0.000 0.000
Sc2 0.333 0.667 0.667
Sc3 0.667 0.333 0.333
Cu1 0.000 0.000 0.500
Cu2 0.333 0.667 0.167
Cu3 0.667 0.333 0.833
N1 0.000 0.000 0.116
N2 0.000 0.000 0.884
N3 0.333 0.667 0.550
N4 0.333 0.667 0.783
N5 0.667 0.333 0.217
N6 0.667 0.333 0.450
```

Results
**Formation energy (no corrections)**: 2.690 eV per formula unit
**Total DFT energy (no corrections)**: -135.99 eV for the cell shown
**Volume**: 12.18 Å³/atom
**Theoretical density**: 4.7 g/cm³
**Total magnetization**: 0.007 μB per cell

First-principles (meta-GGA SCAN) data for a crystal of Sc3CuN relaxed with PBEsol, as listed in Alexandria.

CIF file:
```
data_Sc3CuN
_cell_length_a 4.329
_cell_length_b 4.329
_cell_length_c 4.329
_cell_angle_alpha 90.00
_cell_angle_beta 90.00
_cell_angle_gamma 90.00
_symmetry_space_group_name_H-M 'P 1'
_symmetry_Int_Tables_number 1
_symmetry_space_group_name_Hall 'P 1'
loop_
_atom_site_label
_atom_site_fract_x
_atom_site_fract_y
_atom_site_fract_z
Sc1 0.000 0.000 0.500
Sc2 0.000 0.500 0.000
Sc3 0.500 0.000 0.000
Cu1 0.500 0.500 0.500
N1 0.000 0.000 0.000
```

Results
**Formation energy (no corrections)**: -4.816 eV per formula unit
**Total DFT energy (no corrections)**: -72.02 eV for the cell shown
**Volume**: 16.22 Å³/atom
**Theoretical density**: 4.3 g/cm³
**Total magnetization**: 1.098 μB per cell

First-principles (meta-GGA SCAN) data for a crystal of ScCuN3 relaxed with PBEsol, as listed in Alexandria.

CIF file:
```
data_ScCuN3
_cell_length_a 3.692
_cell_length_b 3.692
_cell_length_c 3.692
_cell_angle_alpha 90.00
_cell_angle_beta 90.00
_cell_angle_gamma 90.00
_symmetry_space_group_name_H-M 'P 1'
_symmetry_Int_Tables_number 1
_symmetry_space_group_name_Hall 'P 1'
loop_
_atom_site_label
_atom_site_fract_x
_atom_site_fract_y
_atom_site_fract_z
Sc1 0.000 0.000 0.000
Cu1 0.500 0.500 0.500
N1 0.000 0.500 0.500
N2 0.500 0.000 0.500
N3 0.500 0.500 0.000
```

Results
**Formation energy (no corrections)**: 3.297 eV per formula unit
**Total DFT energy (no corrections)**: -54.01 eV for the cell shown
**Volume**: 10.07 Å³/atom
**Theoretical density**: 5.0 g/cm³
**Total magnetization**: 0.000 μB per cell